Run 1
# PBE ReSb2Ir, relaxed
# - M_tot (μB/atom) = 0.0000
# - calculated density (g cm⁻³) = 12.104
# - Fermi-level density of states (states/eV/f.u.) = 2.292
data_ReSb2Ir
_chemical_formula_sum 'Re1 Sb2 Ir1'
_symmetry_space_group_name_H-M 'P 4 m m'
_symmetry_Int_Tables_number 99
_symmetry_space_group_name_Hall 'P 4 -2'
_cell_length_a 3.010
_cell_length_b 3.010
_cell_length_c 9.417
_cell_angle_alpha 90.00
_cell_angle_beta 90.00
_cell_angle_gamma 90.00
loop_
_atom_site_label
_atom_site_type_symbol
_atom_site_fract_x
_atom_site_fract_y
_atom_site_fract_z
Re1 Re 0.000 0.000 0.000
Sb1 Sb 0.000 0.000 0.604
Sb2 Sb 0.500 0.500 0.208
Ir1 Ir 0.500 0.500 0.827

Run 2
# PBE ReSb2Ir, relaxed
# - M_tot (μB/atom) = 0.0000
# - calculated density (g cm⁻³) = 14.058
# - Fermi-level density of states (states/eV/f.u.) = 3.115
data_ReSb2Ir
_chemical_formula_sum 'Re2 Sb4 Ir2'
_symmetry_space_group_name_H-M 'C 1 2/m 1'
_symmetry_Int_Tables_number 12
_symmetry_space_group_name_Hall '-C 2y'
_cell_length_a 8.591
_cell_length_b 3.196
_cell_length_c 5.482
_cell_angle_alpha 90.00
_cell_angle_beta 102.56
_cell_angle_gamma 90.00
loop_
_atom_site_label
_atom_site_type_symbol
_atom_site_fract_x
_atom_site_fract_y
_atom_site_fract_z
Re1 Re 0.000 0.000 0.000
Sb1 Sb 0.248 0.500 0.243
Ir1 Ir 0.000 0.500 0.500

Which structure is the least stable? The one labeled run 2.

Run 1
# PBE ReSb2Ir, relaxed
# - M_tot (μB/atom) = 0.0000
# - calculated density (g cm⁻³) = 14.047
# - Fermi-level density of states (states/eV/f.u.) = 1.739
data_ReSb2Ir
_chemical_formula_sum 'Re2 Sb4 Ir2'
_symmetry_space_group_name_H-M 'C 1 m 1'
_symmetry_Int_Tables_number 8
_symmetry_space_group_name_Hall 'C -2y'
_cell_length_a 9.538
_cell_length_b 3.416
_cell_length_c 4.621
_cell_angle_alpha 90.00
_cell_angle_beta 102.44
_cell_angle_gamma 90.00
loop_
_atom_site_label
_atom_site_type_symbol
_atom_site_fract_x
_atom_site_fract_y
_atom_site_fract_z
Re1 Re 0.000 0.000 0.000
Sb1 Sb 0.229 0.500 0.093
Sb2 Sb 0.486 0.000 0.489
Ir1 Ir 0.219 0.000 0.591

Run 2
# PBE ReSb2Ir, relaxed
# - M_tot (μB/atom) = 0.0000
# - calculated density (g cm⁻³) = 11.814
# - Fermi-level density of states (states/eV/f.u.) = 3.218
data_ReSb2Ir
_chemical_formula_sum 'Re1 Sb2 Ir1'
_symmetry_space_group_name_H-M 'P 1 m 1'
_symmetry_Int_Tables_number 6
_symmetry_space_group_name_Hall 'P -2y'
_cell_length_a 2.888
_cell_length_b 3.982
_cell_length_c 7.605
_cell_angle_alpha 90.00
_cell_angle_beta 91.24
_cell_angle_gamma 90.00
loop_
_atom_site_label
_atom_site_type_symbol
_atom_site_fract_x
_atom_site_fract_y
_atom_site_fract_z
Re1 Re 0.000 0.000 0.000
Sb1 Sb 0.495 0.500 0.774
Sb2 Sb 0.513 0.000 0.380
Ir1 Ir 0.508 0.500 0.139

Which structure is the least stable? The one labeled run 1.

Run 1
# PBE ReSb2Ir, relaxed
# - M_tot (μB/atom) = 0.0000
# - calculated density (g cm⁻³) = 13.657
# - Fermi-level density of states (states/eV/f.u.) = 2.892
data_ReSb2Ir
_chemical_formula_sum 'Re2 Sb4 Ir2'
_symmetry_space_group_name_H-M 'I m m 2'
_symmetry_Int_Tables_number 44
_symmetry_space_group_name_Hall 'I 2 -2'
_cell_length_a 3.357
_cell_length_b 4.426
_cell_length_c 10.178
_cell_angle_alpha 90.00
_cell_angle_beta 90.00
_cell_angle_gamma 90.00
loop_
_atom_site_label
_atom_site_type_symbol
_atom_site_fract_x
_atom_site_fract_y
_atom_site_fract_z
Re1 Re 0.000 0.000 0.000
Sb1 Sb 0.000 0.000 0.494
Sb2 Sb 0.000 0.500 0.722
Ir1 Ir 0.000 0.500 0.213

Run 2
# PBE ReSb2Ir, relaxed
# - M_tot (μB/atom) = 0.0000
# - calculated density (g cm⁻³) = 14.393
# - Fermi-level density of states (states/eV/f.u.) = 2.585
data_ReSb2Ir
_chemical_formula_sum 'Re1 Sb2 Ir1'
_symmetry_space_group_name_H-M 'P 4/m m m'
_symmetry_Int_Tables_number 123
_symmetry_space_group_name_Hall '-P 4 2'
_cell_length_a 3.353
_cell_length_b 3.353
_cell_length_c 6.381
_cell_angle_alpha 90.00
_cell_angle_beta 90.00
_cell_angle_gamma 90.00
loop_
_atom_site_label
_atom_site_type_symbol
_atom_site_fract_x
_atom_site_fract_y
_atom_site_fract_z
Re1 Re 0.000 0.000 0.000
Sb1 Sb 0.500 0.500 0.250
Ir1 Ir 0.000 0.000 0.500

Which structure is the least stable? The one labeled run 1.

Run 1
# PBE ReSbTe2Ir, relaxed
# - M_tot (μB/atom) = 0.0000
# - calculated density (g cm⁻³) = 9.461
# - Fermi-level density of states (states/eV/f.u.) = 4.164
data_ReSbTe2Ir
_chemical_formula_sum 'Re1 Sb1 Te2 Ir1'
_symmetry_space_group_name_H-M 'P 4/m m m'
_symmetry_Int_Tables_number 123
_symmetry_space_group_name_Hall '-P 4 2'
_cell_length_a 5.104
_cell_length_b 5.104
_cell_length_c 5.090
_cell_angle_alpha 90.00
_cell_angle_beta 90.00
_cell_angle_gamma 90.00
loop_
_atom_site_label
_atom_site_type_symbol
_atom_site_fract_x
_atom_site_fract_y
_atom_site_fract_z
Re1 Re 0.000 0.000 0.000
Sb1 Sb 0.000 0.000 0.500
Te1 Te 0.000 0.500 0.000
Ir1 Ir 0.500 0.500 0.500

Run 2
# PBE ReSbTe2Ir, relaxed
# - M_tot (μB/atom) = 0.5641
# - calculated density (g cm⁻³) = 9.065
# - Fermi-level density of states (states/eV/f.u.) = 4.730
data_ReSbTe2Ir
_chemical_formula_sum 'Re1 Sb1 Te2 Ir1'
_symmetry_space_group_name_H-M 'P 4/m m m'
_symmetry_Int_Tables_number 123
_symmetry_space_group_name_Hall '-P 4 2'
_cell_length_a 5.247
_cell_length_b 5.247
_cell_length_c 5.026
_cell_angle_alpha 90.00
_cell_angle_beta 90.00
_cell_angle_gamma 90.00
loop_
_atom_site_label
_atom_site_type_symbol
_atom_site_fract_x
_atom_site_fract_y
_atom_site_fract_z
Re1 Re 0.000 0.000 0.000
Sb1 Sb 0.500 0.500 0.000
Te1 Te 0.000 0.500 0.500
Ir1 Ir 0.500 0.500 0.500

Which structure is the least stable? The one labeled run 2.

Run 1
# PBE ReIrSe2, relaxed
# - M_tot (μB/atom) = 0.0134
# - calculated density (g cm⁻³) = 13.841
# - Fermi-level density of states (states/eV/f.u.) = 5.187
data_ReIrSe2
_chemical_formula_sum 'Re2 Ir2 Se4'
_symmetry_space_group_name_H-M 'I -4 m 2'
_symmetry_Int_Tables_number 119
_symmetry_space_group_name_Hall 'I -4 -2'
_cell_length_a 3.827
_cell_length_b 3.827
_cell_length_c 8.788
_cell_angle_alpha 90.00
_cell_angle_beta 90.00
_cell_angle_gamma 90.00
loop_
_atom_site_label
_atom_site_type_symbol
_atom_site_fract_x
_atom_site_fract_y
_atom_site_fract_z
Re1 Re 0.000 0.000 0.000
Ir1 Ir 0.000 0.500 0.250
Se1 Se 0.000 0.000 0.500
Se2 Se 0.000 0.500 0.750

Run 2
# PBE ReIrSe2, relaxed
# - M_tot (μB/atom) = 0.0000
# - calculated density (g cm⁻³) = 13.973
# - Fermi-level density of states (states/eV/f.u.) = 3.291
data_ReIrSe2
_chemical_formula_sum 'Re1 Ir1 Se2'
_symmetry_space_group_name_H-M 'P 1 2/m 1'
_symmetry_Int_Tables_number 10
_symmetry_space_group_name_Hall '-P 2y'
_cell_length_a 4.361
_cell_length_b 3.032
_cell_length_c 5.251
_cell_angle_alpha 90.00
_cell_angle_beta 113.34
_cell_angle_gamma 90.00
loop_
_atom_site_label
_atom_site_type_symbol
_atom_site_fract_x
_atom_site_fract_y
_atom_site_fract_z
Re1 Re 0.000 0.000 0.000
Ir1 Ir 0.000 0.500 0.500
Se1 Se 0.500 0.000 0.500
Se2 Se 0.500 0.500 0.000

Which structure is the least stable? The one labeled run 1.

Run 1
# PBE ReIrSe2, relaxed
# - M_tot (μB/atom) = 0.0000
# - calculated density (g cm⁻³) = 12.993
# - Fermi-level density of states (states/eV/f.u.) = 3.247
data_ReIrSe2
_chemical_formula_sum 'Re1 Ir1 Se2'
_symmetry_space_group_name_H-M 'P m m m'
_symmetry_Int_Tables_number 47
_symmetry_space_group_name_Hall '-P 2 2'
_cell_length_a 2.693
_cell_length_b 4.238
_cell_length_c 6.006
_cell_angle_alpha 90.00
_cell_angle_beta 90.00
_cell_angle_gamma 90.00
loop_
_atom_site_label
_atom_site_type_symbol
_atom_site_fract_x
_atom_site_fract_y
_atom_site_fract_z
Re1 Re 0.000 0.000 0.000
Ir1 Ir 0.000 0.000 0.500
Se1 Se 0.000 0.500 0.251

Run 2
# PBE ReIrSe2, relaxed
# - M_tot (μB/atom) = 0.0000
# - calculated density (g cm⁻³) = 14.132
# - Fermi-level density of states (states/eV/f.u.) = 2.605
data_ReIrSe2
_chemical_formula_sum 'Re1 Ir1 Se2'
_symmetry_space_group_name_H-M 'P 4/m m m'
_symmetry_Int_Tables_number 123
_symmetry_space_group_name_Hall '-P 4 2'
_cell_length_a 3.155
_cell_length_b 3.155
_cell_length_c 6.332
_cell_angle_alpha 90.00
_cell_angle_beta 90.00
_cell_angle_gamma 90.00
loop_
_atom_site_label
_atom_site_type_symbol
_atom_site_fract_x
_atom_site_fract_y
_atom_site_fract_z
Re1 Re 0.000 0.000 0.000
Ir1 Ir 0.000 0.000 0.500
Se1 Se 0.500 0.500 0.242

Which structure is the least stable? The one labeled run 1.

Run 1
# PBE ReIrSe, relaxed
# - M_tot (μB/atom) = 0.0000
# - calculated density (g cm⁻³) = 14.055
# - Fermi-level density of states (states/eV/f.u.) = 4.066
data_ReIrSe
_chemical_formula_sum 'Re4 Ir4 Se4'
_symmetry_space_group_name_H-M 'F -4 3 m'
_symmetry_Int_Tables_number 216
_symmetry_space_group_name_Hall 'F -4 2 3'
_cell_length_a 6.001
_cell_length_b 6.001
_cell_length_c 6.001
_cell_angle_alpha 90.00
_cell_angle_beta 90.00
_cell_angle_gamma 90.00
loop_
_atom_site_label
_atom_site_type_symbol
_atom_site_fract_x
_atom_site_fract_y
_atom_site_fract_z
Re1 Re 0.000 0.000 0.000
Ir1 Ir 0.250 0.250 0.750
Se1 Se 0.250 0.250 0.250

Run 2
# PBE ReIrSe, relaxed
# - M_tot (μB/atom) = 0.0000
# - calculated density (g cm⁻³) = 16.228
# - Fermi-level density of states (states/eV/f.u.) = 2.642
data_ReIrSe
_chemical_formula_sum 'Re1 Ir1 Se1'
_symmetry_space_group_name_H-M 'P 3 m 1'
_symmetry_Int_Tables_number 156
_symmetry_space_group_name_Hall 'P 3 -2"'
_cell_length_a 2.9096
_cell_length_b 2.9096
_cell_length_c 6.3836
_cell_angle_alpha 90.00
_cell_angle_beta 90.00
_cell_angle_gamma 120.00
loop_
_atom_site_label
_atom_site_type_symbol
_atom_site_fract_x
_atom_site_fract_y
_atom_site_fract_z
Re1 Re 0.0000 0.0000 0.0000
Ir1 Ir 0.3333 0.6667 0.6726
Se1 Se 0.6667 0.3333 0.3079

Which structure is the least stable? The one labeled run 1.